LaSF | GGA-PBEsol | optimized geometry

a = 4.001 Å, b = 4.001 Å, c = 6.895 Å
α = 90.00°, β = 90.00°, γ = 90.00°
Sites, in units of the cell vectors:
1 S 0.500 0.000 0.650
2 S 0.000 0.500 0.350
3 La 0.000 0.500 0.770
4 La 0.500 0.000 0.230
5 F 0.500 0.500 0.000
6 F 0.000 0.000 0.000

Output
V   110.3 Å³/cell
Formation energy (no corrections)   -3.1560 eV per atom



Ca2SbPb | GGA-PBEsol | optimized geometry

a = 5.017 Å, b = 5.671 Å, c = 5.031 Å
α = 116.33°, β = 90.00°, γ = 116.25°
Sites, in units of the cell vectors:
1 Pb 0.500 0.000 0.000
2 Sb 0.000 0.000 0.500
3 Ca 0.750 0.500 0.750
4 Ca 0.250 0.500 0.250

Output
V   111.6 Å³/cell
Polymorph energy (0 for the lowest one)   0 meV/atom
Formation energy (no corrections)   -0.7070 eV per atom



As2RhAu | GGA-PBEsol | optimized geometry

a = 3.470 Å, b = 3.470 Å, c = 5.618 Å
α = 90.00°, β = 90.00°, γ = 90.00°
Sites, in units of the cell vectors:
1 Rh 0.500 0.500 0.772
2 As 0.000 0.000 0.934
3 As 0.500 0.500 0.314
4 Au 0.000 0.000 0.480

Output
V   67.7 Å³/cell
Final energy   -5.555 eV per atom



MnAl2Sb | GGA-PBEsol | optimized geometry

a = 3.060 Å, b = 3.748 Å, c = 6.009 Å
α = 90.00°, β = 91.54°, γ = 90.00°
Sites, in units of the cell vectors:
1 Sb 0.496 0.500 0.735
2 Mn 0.005 0.000 0.460
3 Al 0.999 0.000 0.035
4 Al 0.500 0.500 0.270

Output
V   68.9 Å³/cell
Formation energy (no corrections)   0.1751 eV per atom



Sc5Ru24 | GGA-PBEsol | optimized geometry

a = 8.169 Å, b = 8.169 Å, c = 8.169 Å
α = 109.47°, β = 109.47°, γ = 109.47°
Sites, in units of the cell vectors:
1 Ru 0.629 0.821 0.629
2 Ru 0.807 0.179 0.807
3 Ru 0.193 0.000 0.371
4 Ru 0.371 0.000 0.193
5 Ru 0.821 0.629 0.629
6 Ru 0.179 0.807 0.807
7 Ru 0.000 0.371 0.193
8 Ru 0.000 0.193 0.371
9 Ru 0.629 0.629 0.821
10 Ru 0.807 0.807 0.179
11 Ru 0.371 0.193 0.000
12 Ru 0.193 0.371 0.000
13 Ru 0.616 0.292 0.616
14 Ru 0.324 0.708 0.324
15 Ru 0.676 0.000 0.384
16 Ru 0.384 0.000 0.676
17 Ru 0.292 0.616 0.616
18 Ru 0.708 0.324 0.324
19 Ru 0.000 0.384 0.676
20 Ru 0.000 0.676 0.384
21 Ru 0.616 0.616 0.292
22 Ru 0.324 0.324 0.708
23 Ru 0.384 0.676 0.000
24 Ru 0.676 0.384 0.000
25 Sc 0.373 0.373 0.373
26 Sc 0.000 0.627 0.000
27 Sc 0.000 0.000 0.627
28 Sc 0.627 0.000 0.000
29 Sc 0.000 0.000 0.000

Output
V   419.6 Å³/cell
Final energy   -9.663 eV per atom



LiHgAu2 | GGA-PBEsol | optimized geometry

a = 4.109 Å, b = 4.109 Å, c = 4.961 Å
α = 114.46°, β = 114.46°, γ = 90.00°
Sites, in units of the cell vectors:
1 Au 0.000 0.000 0.000
2 Au 0.250 0.750 0.500
3 Hg 0.500 0.500 0.000
4 Li 0.750 0.250 0.500

Output
V   67.9 Å³/cell
Final energy   -2.913 eV per atom



Be2AgBr | GGA-PBEsol | optimized geometry

a = 3.107 Å, b = 3.107 Å, c = 7.898 Å
α = 78.66°, β = 78.66°, γ = 60.00°
Sites, in units of the cell vectors:
1 Be 0.008 0.008 0.977
2 Be 0.748 0.748 0.756
3 Br 0.476 0.476 0.573
4 Ag 0.269 0.269 0.193

Output
V   64.3 Å³/cell
Polymorph energy (0 for the lowest one)   81 meV/atom
Formation energy (no corrections)   0.3323 eV per atom



PdC2I2 | GGA-PBEsol | optimized geometry

a = 4.023 Å, b = 4.023 Å, c = 6.055 Å
α = 109.40°, β = 109.40°, γ = 90.00°
Sites, in units of the cell vectors:
1 I 0.342 0.342 0.685
2 I 0.658 0.658 0.315
3 C 0.250 0.750 0.500
4 C 0.750 0.250 0.500
5 Pd 0.000 0.000 0.000

Output
V   86.5 Å³/cell
Formation energy (no corrections)   2.2399 eV per atom



SrAl2 | GGA-PBEsol | optimized geometry

a = 4.031 Å, b = 6.206 Å, c = 7.221 Å
α = 115.45°, β = 106.21°, γ = 90.00°
Sites, in units of the cell vectors:
1 Sr 0.686 0.686 0.372
2 Sr 0.314 0.314 0.628
3 Al 0.000 0.766 0.000
4 Al 0.394 0.894 0.789
5 Al 0.606 0.106 0.211
6 Al 0.000 0.234 0.000

Output
V   155.1 Å³/cell
Final energy   -3.491 eV per atom



In2CuSi | GGA-PBEsol | optimized geometry

a = 3.912 Å, b = 4.229 Å, c = 4.527 Å
α = 90.00°, β = 90.00°, γ = 90.00°
Sites, in units of the cell vectors:
1 Cu 0.500 0.000 0.500
2 In 0.000 0.000 0.000
3 In 0.000 0.500 0.500
4 Si 0.500 0.500 0.000

Output
V   74.9 Å³/cell
Formation energy (no corrections)   0.3232 eV per atom



Sr2CaOsC | GGA-PBEsol | optimized geometry

a = 3.972 Å, b = 6.008 Å, c = 6.008 Å
α = 90.00°, β = 90.00°, γ = 90.00°
Sites, in units of the cell vectors:
1 Sr 0.000 0.000 0.500
2 Sr 0.000 0.500 0.000
3 Ca 0.500 0.500 0.500
4 Os 0.000 0.000 0.000
5 C 0.500 0.000 0.000

Output
V   143.4 Å³/cell
Final energy   -4.836 eV per atom



MgIrC3 | GGA-PBEsol | optimized geometry

a = 3.896 Å, b = 3.896 Å, c = 3.896 Å
α = 90.00°, β = 90.00°, γ = 90.00°
Sites, in units of the cell vectors:
1 Mg 0.000 0.000 0.000
2 Ir 0.500 0.500 0.500
3 C 0.000 0.500 0.000
4 C 0.000 0.000 0.500
5 C 0.500 0.000 0.000

Output
V   59.1 Å³/cell
Polymorph energy (0 for the lowest one)   1502 meV/atom



Be2Sb2Rh | GGA-PBEsol | optimized geometry

a = 4.180 Å, b = 4.180 Å, c = 5.795 Å
α = 111.14°, β = 111.14°, γ = 90.00°
Sites, in units of the cell vectors:
1 Sb 0.250 0.750 0.500
2 Sb 0.750 0.250 0.500
3 Rh 0.000 0.000 0.000
4 Be 0.599 0.599 0.198
5 Be 0.401 0.401 0.802

Output
V   87.1 Å³/cell
Formation energy (no corrections)   0.8211 eV per atom



Mn3Cr | GGA-PBEsol | optimized geometry

a = 2.762 Å, b = 3.921 Å, c = 4.576 Å
α = 115.37°, β = 107.57°, γ = 90.00°
Sites, in units of the cell vectors:
1 Cr 0.000 0.000 0.000
2 Mn 0.263 0.763 0.526
3 Mn 0.500 0.500 0.000
4 Mn 0.737 0.237 0.474

Output
V   42.2 Å³/cell
Final energy   -9.778 eV per atom



CuTc4 | GGA-PBEsol | optimized geometry

a = 3.724 Å, b = 3.724 Å, c = 6.252 Å
α = 107.33°, β = 107.33°, γ = 90.00°
Sites, in units of the cell vectors:
1 Cu 0.000 0.000 0.000
2 Tc 0.750 0.250 0.500
3 Tc 0.250 0.750 0.500
4 Tc 0.398 0.398 0.796
5 Tc 0.602 0.602 0.204

Output
V   78.6 Å³/cell
Final energy   -9.148 eV per atom



TcSb2Rh | GGA-PBEsol | optimized geometry

a = 4.605 Å, b = 4.605 Å, c = 4.605 Å
α = 60.00°, β = 60.00°, γ = 60.00°
Sites, in units of the cell vectors:
1 Rh 0.000 0.000 0.000
2 Sb 0.750 0.750 0.750
3 Sb 0.250 0.250 0.250
4 Tc 0.500 0.500 0.500

Output
V   69.1 Å³/cell
Polymorph energy (0 for the lowest one)   50 meV/atom
Formation energy (no corrections)   0.0675 eV per atom



RuAu5 | GGA-PBEsol | optimized geometry

a = 2.769 Å, b = 5.558 Å, c = 6.847 Å
α = 105.66°, β = 90.00°, γ = 104.42°
Sites, in units of the cell vectors:
1 Au 0.005 0.011 0.997
2 Au 0.386 0.771 0.271
3 Au 0.666 0.332 0.331
4 Au 0.057 0.114 0.616
5 Au 0.330 0.659 0.673
6 Ru 0.723 0.446 0.945

Output
V   98.0 Å³/cell
Final energy   -4.739 eV per atom



BeW | GGA-PBEsol | optimized geometry

a = 3.196 Å, b = 3.242 Å, c = 4.665 Å
α = 90.00°, β = 110.03°, γ = 90.00°
Sites, in units of the cell vectors:
1 Be 0.932 0.750 0.865
2 Be 0.068 0.250 0.135
3 W 0.654 0.750 0.309
4 W 0.346 0.250 0.691

Output
V   45.4 Å³/cell
Polymorph energy (0 for the lowest one)   0 meV/atom



MgTe2N | GGA-PBEsol | optimized geometry

a = 4.437 Å, b = 4.437 Å, c = 7.188 Å
α = 72.02°, β = 72.02°, γ = 60.00°
Sites, in units of the cell vectors:
1 Mg 0.500 0.500 0.500
2 Te 0.905 0.905 0.286
3 Te 0.095 0.095 0.714
4 N 0.000 0.000 0.000

Output
V   114.5 Å³/cell
Polymorph energy (0 for the lowest one)   0 meV/atom
Formation energy (no corrections)   0.4406 eV per atom



YHgSb2Br | GGA-PBEsol | optimized geometry

a = 5.360 Å, b = 5.360 Å, c = 5.482 Å
α = 90.00°, β = 90.00°, γ = 90.00°
Sites, in units of the cell vectors:
1 Y 0.500 0.500 0.500
2 Sb 0.000 0.500 0.000
3 Sb 0.500 0.000 0.000
4 Hg 0.000 0.000 0.500
5 Br 0.000 0.000 0.000

Output
V   157.5 Å³/cell
Formation energy (no corrections)   0.3722 eV per atom



TiIN | GGA-PBEsol | optimized geometry

a = 3.493 Å, b = 3.943 Å, c = 9.014 Å
α = 90.00°, β = 90.00°, γ = 90.00°
Sites, in units of the cell vectors:
1 I 0.500 0.500 0.683
2 I 0.000 0.000 0.317
3 Ti 0.000 0.500 0.925
4 Ti 0.500 0.000 0.075
5 N 0.000 0.000 0.963
6 N 0.500 0.500 0.037

Output
V   124.2 Å³/cell
Formation energy (no corrections)   -1.2444 eV per atom



MgB4O7 | GGA-PBEsol | optimized geometry

a = 8.006 Å, b = 8.626 Å, c = 13.806 Å
α = 90.00°, β = 90.00°, γ = 90.00°
Sites, in units of the cell vectors:
1 Mg 0.618 0.100 0.388
2 Mg 0.118 0.400 0.612
3 Mg 0.382 0.600 0.112
4 Mg 0.882 0.900 0.888
5 Mg 0.382 0.900 0.612
6 Mg 0.882 0.600 0.388
7 Mg 0.618 0.400 0.888
8 Mg 0.118 0.100 0.112
9 B 0.178 0.132 0.466
10 B 0.678 0.368 0.534
11 B 0.822 0.632 0.034
12 B 0.322 0.868 0.966
13 B 0.822 0.868 0.534
14 B 0.322 0.632 0.466
15 B 0.178 0.368 0.966
16 B 0.678 0.132 0.034
17 B 0.982 0.073 0.335
18 B 0.482 0.427 0.665
19 B 0.018 0.573 0.165
20 B 0.518 0.927 0.835
21 B 0.018 0.927 0.665
22 B 0.518 0.573 0.335
23 B 0.982 0.427 0.835
24 B 0.482 0.073 0.165
25 B 0.041 0.334 0.265
26 B 0.541 0.166 0.735
27 B 0.959 0.834 0.235
28 B 0.459 0.666 0.765
29 B 0.959 0.666 0.735
30 B 0.459 0.834 0.265
31 B 0.041 0.166 0.765
32 B 0.541 0.334 0.235
33 B 0.934 0.296 0.433
34 B 0.434 0.204 0.567
35 B 0.066 0.796 0.067
36 B 0.566 0.704 0.933
37 B 0.066 0.704 0.567
38 B 0.566 0.796 0.433
39 B 0.934 0.204 0.933
40 B 0.434 0.296 0.067
41 O 0.134 0.044 0.389
42 O 0.634 0.456 0.611
43 O 0.866 0.544 0.111
44 O 0.366 0.956 0.889
45 O 0.866 0.956 0.611
46 O 0.366 0.544 0.389
47 O 0.134 0.456 0.889
48 O 0.634 0.044 0.111
49 O 0.079 0.255 0.497
50 O 0.579 0.245 0.503
51 O 0.921 0.755 0.003
52 O 0.421 0.745 0.997
53 O 0.921 0.745 0.503
54 O 0.421 0.755 0.497
55 O 0.079 0.245 0.997
56 O 0.579 0.255 0.003
57 O 0.033 0.176 0.248
58 O 0.533 0.324 0.752
59 O 0.967 0.676 0.252
60 O 0.467 0.824 0.748
61 O 0.967 0.824 0.752
62 O 0.467 0.676 0.248
63 O 0.033 0.324 0.748
64 O 0.533 0.176 0.252
65 O 0.994 0.396 0.353
66 O 0.494 0.104 0.647
67 O 0.006 0.896 0.147
68 O 0.506 0.604 0.853
69 O 0.006 0.604 0.647
70 O 0.506 0.896 0.353
71 O 0.994 0.104 0.853
72 O 0.494 0.396 0.147
73 O 0.828 0.400 0.488
74 O 0.328 0.100 0.512
75 O 0.172 0.900 0.012
76 O 0.672 0.600 0.988
77 O 0.172 0.600 0.512
78 O 0.672 0.900 0.488
79 O 0.828 0.100 0.988
80 O 0.328 0.400 0.012
81 O 0.859 0.159 0.392
82 O 0.359 0.341 0.608
83 O 0.141 0.659 0.108
84 O 0.641 0.841 0.892
85 O 0.141 0.841 0.608
86 O 0.641 0.659 0.392
87 O 0.859 0.341 0.892
88 O 0.359 0.159 0.108
89 O 0.594 0.429 0.307
90 O 0.094 0.071 0.693
91 O 0.406 0.929 0.193
92 O 0.906 0.571 0.807
93 O 0.406 0.571 0.693
94 O 0.906 0.929 0.307
95 O 0.594 0.071 0.807
96 O 0.094 0.429 0.193

Output
V   953.4 Å³/cell
Formation energy (no corrections)   -2.5491 eV per atom



Mg2AlSb | GGA-PBEsol | optimized geometry

a = 3.073 Å, b = 4.728 Å, c = 6.222 Å
α = 90.00°, β = 105.31°, γ = 90.00°
Sites, in units of the cell vectors:
1 Sb 0.181 0.000 0.481
2 Mg 0.921 0.000 0.967
3 Mg 0.570 0.500 0.267
4 Al 0.329 0.500 0.785

Output
V   87.2 Å³/cell
Polymorph energy (0 for the lowest one)   50 meV/atom
Formation energy (no corrections)   -0.0217 eV per atom